Record 1
Density functional theory data (GGA-PBE) for a relaxed YFeSnW crystal.

Results
- total energy (eV per atom) = -7.3389
- size of the total moment (Bohr magnetons per cell) = 3.0
- offset from the most stable computed form (meV per atom) = 103

a = 4.706 Å, b = 4.706 Å, c = 4.706 Å
α = 60.00°, β = 60.00°, γ = 60.00°
Fractional positions:
Sn (0.000, 0.000, 0.000)
Y (0.250, 0.250, 0.250)
W (0.500, 0.500, 0.500)
Fe (0.750, 0.750, 0.750)

Record 2
Density functional theory data (GGA-PBE) for a relaxed TmLu2Sc3Sb2Os crystal.

Results
- total energy (eV per atom) = -6.4983
- size of the total moment (Bohr magnetons per cell) = 0.0

a = 4.141 Å, b = 7.752 Å, c = 7.752 Å
α = 119.99°, β = 90.00°, γ = 90.00°
Fractional positions:
Sb (0.500, 0.667, 0.332)
Tm (0.000, 0.609, 0.609)
Sc (0.500, 0.232, 0.232)
Sc (0.500, 0.000, 0.770)
Lu (0.000, 0.000, 0.389)
Lu (0.000, 0.389, 0.000)
Sb (0.500, 0.332, 0.667)
Os (0.000, 0.002, 0.002)
Sc (0.500, 0.770, 0.000)

> size of the total moment of number 1 (YFeSnW)?

3.0 Bohr magnetons per cell

> Which value of total energy does entry 2 give?

-6.4983 eV per atom

> Which value of total energy does entry 2 give?

-6.4983 eV per atom